Here is a relaxed Tb2PmDy crystal from Alexandria via LeMat-Bulk. Energies are from PBE-GGA.

Output
ΔH_f (0 K), eV/atom: 0.01
Size of the total moment, μB per formula unit: 0.0

Unit cell a=3.5964 b=3.5964 c=34.7845 alpha=90.00 beta=90.00 gamma=120.00
Space group R3m (No. 160, hexagonal axes)
Inequivalent atoms, fractional coordinates:
Tb1 0.0000 0.0000 0.0000 x3
Tb2 0.0000 0.0000 0.1689 x3
Pm1 0.0000 0.0000 0.7507 x3
Dy1 0.0000 0.0000 0.5845 x3



Here is a relaxed TbPmDy14 crystal from Alexandria via LeMat-Bulk. Energies are from PBE-GGA.

Output
ΔH_f (0 K), eV/atom: 0.00
Size of the total moment, μB per formula unit: 0.0

Unit cell a=11.469 b=7.129 c=12.343 alpha=90.00 beta=90.00 gamma=90.00
Space group Amm2 (No. 38)
Inequivalent atoms, fractional coordinates:
Tb1 0.000 0.000 0.000 x2
Pm1 0.000 0.000 0.500 x2
Dy1 0.000 0.250 0.250 x4
Dy2 0.250 0.000 0.167 x4
Dy3 0.251 0.000 0.667 x4
Dy4 0.251 0.250 0.417 x8
Dy5 0.500 0.000 0.333 x2
Dy6 0.500 0.000 0.833 x2
Dy7 0.500 0.250 0.084 x4



Here is a relaxed Tb4Pm3Dy2 crystal from Alexandria via LeMat-Bulk. Energies are from PBE-GGA.

Output
ΔH_f (0 K), eV/atom: 0.02
Size of the total moment, μB per formula unit: 0.0

Unit cell a=15.221 b=5.072 c=8.009 alpha=90.00 beta=108.50 gamma=90.00
Space group C2/m (No. 12)
Inequivalent atoms, fractional coordinates:
Tb1 0.056 0.000 0.333 x4
Tb2 0.222 0.500 0.332 x4
Pm1 0.000 0.500 0.000 x2
Pm2 0.111 0.500 0.666 x4
Dy1 0.167 0.000 0.001 x4



Here is a relaxed TbPm5Dy crystal from Alexandria via LeMat-Bulk. Energies are from PBE-GGA.

Output
ΔH_f (0 K), eV/atom: 0.17
Size of the total moment, μB per formula unit: 0.0

Unit cell a=6.184 b=17.617 c=8.992 alpha=90.00 beta=101.46 gamma=90.00
Space group C2/c (No. 15)
Inequivalent atoms, fractional coordinates:
Tb1 0.000 0.000 0.000 x4
Pm1 0.000 0.142 0.250 x4
Pm2 0.113 0.346 0.964 x8
Pm3 0.203 0.186 0.646 x8
Dy1 0.000 0.489 0.250 x4



Here is a relaxed Tb5PmDy6 crystal from Alexandria via LeMat-Bulk. Energies are from PBE-GGA.

Output
ΔH_f (0 K), eV/atom: 0.11
Size of the total moment, μB per formula unit: 0.0

Unit cell a=5.804 b=7.381 c=18.026 alpha=90.00 beta=90.00 gamma=90.00
Space group Immm (No. 71)
Inequivalent atoms, fractional coordinates:
Tb1 0.000 0.000 0.000 x2
Tb2 0.000 0.000 0.346 x4
Tb3 0.000 0.500 0.347 x4
Pm1 0.000 0.500 0.000 x2
Dy1 0.000 0.250 0.181 x8
Dy2 0.000 0.250 0.500 x4



Here is a relaxed Tb3PmDy8 crystal from Alexandria via LeMat-Bulk. Energies are from PBE-GGA.

Output
ΔH_f (0 K), eV/atom: 0.65
Size of the total moment, μB per formula unit: 0.0

Unit cell a=8.666 b=8.666 c=11.333 alpha=90.00 beta=90.00 gamma=90.00
Space group I-42m (No. 121)
Inequivalent atoms, fractional coordinates:
Tb1 0.000 0.000 0.000 x2
Tb2 0.000 0.500 0.250 x4
Pm1 0.000 0.000 0.500 x2
Dy1 0.126 0.126 0.248 x8
Dy2 0.248 0.248 0.995 x8



Here is a relaxed Tb2Pm4Dy3 crystal from Alexandria via LeMat-Bulk. Energies are from PBE-GGA.

Output
ΔH_f (0 K), eV/atom: 0.05
Size of the total moment, μB per formula unit: 0.0

Unit cell a=9.834 b=16.975 c=7.075 alpha=90.00 beta=90.00 gamma=90.00
Space group Cccm (No. 66)
Inequivalent atoms, fractional coordinates:
Tb1 0.186 0.160 0.000 x8
Pm1 0.149 0.173 0.500 x8
Pm2 0.165 0.486 0.500 x8
Dy1 0.000 0.000 0.250 x4
Dy2 0.000 0.330 0.250 x8



Here is a relaxed Tb3PmDy4 crystal from Alexandria via LeMat-Bulk. Energies are from PBE-GGA.

Output
ΔH_f (0 K), eV/atom: 0.01
Size of the total moment, μB per formula unit: 0.0

Unit cell a=11.334 b=7.279 c=6.293 alpha=90.00 beta=90.00 gamma=90.00
Space group Pmn2_1 (No. 31)
Inequivalent atoms, fractional coordinates:
Tb1 0.000 0.126 0.000 x2
Tb2 0.250 0.126 0.333 x4
Pm1 0.000 0.874 0.501 x2
Dy1 0.000 0.376 0.500 x2
Dy2 0.000 0.624 0.001 x2
Dy3 0.249 0.376 0.833 x4



Here is a relaxed Tb14PmDy crystal from Alexandria via LeMat-Bulk. Energies are from PBE-GGA.

Output
ΔH_f (0 K), eV/atom: 0.00
Size of the total moment, μB per formula unit: 0.0

Unit cell a=11.523 b=7.157 c=12.398 alpha=90.00 beta=90.00 gamma=90.00
Space group Amm2 (No. 38)
Inequivalent atoms, fractional coordinates:
Tb1 0.000 0.000 0.000 x2
Tb2 0.000 0.000 0.500 x2
Tb3 0.000 0.250 0.250 x4
Tb4 0.249 0.000 0.167 x4
Tb5 0.249 0.250 0.417 x8
Tb6 0.250 0.000 0.667 x4
Tb7 0.500 0.250 0.084 x4
Pm1 0.500 0.000 0.334 x2
Dy1 0.500 0.000 0.834 x2



Here is a relaxed Tb5PmDy7 crystal from Alexandria via LeMat-Bulk. Energies are from PBE-GGA.

Output
ΔH_f (0 K), eV/atom: 0.25
Size of the total moment, μB per formula unit: 0.0

Unit cell a=6.675 b=11.126 c=11.573 alpha=90.00 beta=90.00 gamma=90.00
Space group Imm2 (No. 44)
Inequivalent atoms, fractional coordinates:
Tb1 0.000 0.000 0.000 x2
Tb2 0.233 0.271 0.501 x8
Pm1 0.000 0.500 0.700 x2
Dy1 0.000 0.000 0.503 x2
Dy2 0.000 0.169 0.252 x4
Dy3 0.000 0.169 0.751 x4
Dy4 0.000 0.500 0.003 x2
Dy5 0.000 0.500 0.308 x2



Here is a relaxed Tb6Pm8Dy crystal from Alexandria via LeMat-Bulk. Energies are from PBE-GGA.

Output
ΔH_f (0 K), eV/atom: 0.17
Size of the total moment, μB per formula unit: 0.0

Unit cell a=9.4326 b=9.4326 c=6.5830 alpha=90.00 beta=90.00 gamma=120.00
Space group P-3 (No. 147)
Inequivalent atoms, fractional coordinates:
Tb1 0.0907 0.6548 0.1588 x6
Pm1 0.0331 0.7486 0.6653 x6
Pm2 0.3333 0.6667 0.6181 x2
Dy1 0.0000 0.0000 0.0000 x1



Here is a relaxed Tb3Pm2Dy8 crystal from Alexandria via LeMat-Bulk. Energies are from PBE-GGA.

Output
ΔH_f (0 K), eV/atom: 0.15
Size of the total moment, μB per formula unit: 0.0

Unit cell a=11.735 b=20.683 c=3.504 alpha=90.00 beta=90.00 gamma=90.00
Space group Pbam (No. 55)
Inequivalent atoms, fractional coordinates:
Tb1 0.000 0.000 0.000 x2
Tb2 0.145 0.299 0.000 x4
Pm1 0.180 0.902 0.500 x4
Dy1 0.045 0.429 0.500 x4
Dy2 0.052 0.158 0.000 x4
Dy3 0.127 0.714 0.500 x4
Dy4 0.207 0.554 0.000 x4



Here is a relaxed Tb4Pm3Dy2 crystal from Alexandria via LeMat-Bulk. Energies are from PBE-GGA.

Output
ΔH_f (0 K), eV/atom: 0.01
Size of the total moment, μB per formula unit: 0.0

Unit cell a=6.205 b=6.211 c=9.477 alpha=108.99 beta=90.05 gamma=119.92
Space group P-1 (No. 2)
Inequivalent atoms, fractional coordinates:
Tb1 0.166 0.333 0.000 x2
Tb2 0.277 0.888 0.333 x2
Pm1 0.388 0.444 0.666 x2
Pm2 0.500 0.000 0.000 x1
Dy1 0.055 0.777 0.666 x2



Here is a relaxed Tb5PmDy3 crystal from Alexandria via LeMat-Bulk. Energies are from PBE-GGA.

Output
ΔH_f (0 K), eV/atom: 0.31
Size of the total moment, μB per formula unit: 0.0

Unit cell a=17.312 b=6.193 c=11.247 alpha=90.00 beta=90.64 gamma=90.00
Space group C2/c (No. 15)
Inequivalent atoms, fractional coordinates:
Tb1 0.000 0.092 0.250 x4
Tb2 0.164 0.225 0.581 x8
Tb3 0.174 0.293 0.248 x8
Pm1 0.000 0.382 0.750 x4
Dy1 0.000 0.500 0.000 x4
Dy2 0.165 0.230 0.916 x8



Here is a relaxed Tb12Pm7Dy crystal from Alexandria via LeMat-Bulk. Energies are from PBE-GGA.

Output
ΔH_f (0 K), eV/atom: 0.64
Size of the total moment, μB per formula unit: 0.0

Unit cell a=11.345 b=11.345 c=11.345 alpha=90.00 beta=90.00 gamma=90.00
Space group Im-3m (No. 229)
Inequivalent atoms, fractional coordinates:
Tb1 0.000 0.247 0.247 x24
Pm1 0.000 0.000 0.500 x6
Pm2 0.250 0.250 0.250 x8
Dy1 0.000 0.000 0.000 x2



Here is a relaxed TbPm5Dy2 crystal from Alexandria via LeMat-Bulk. Energies are from PBE-GGA.

Output
ΔH_f (0 K), eV/atom: 0.21
Size of the total moment, μB per formula unit: 0.0

Unit cell a=14.636 b=12.085 c=6.700 alpha=90.00 beta=114.40 gamma=90.00
Space group C2/c (No. 15)
Inequivalent atoms, fractional coordinates:
Tb1 0.000 0.012 0.250 x4
Pm1 0.000 0.259 0.750 x4
Pm2 0.127 0.262 0.386 x8
Pm3 0.238 0.011 0.715 x8
Dy1 0.000 0.500 0.000 x4
Dy2 0.250 0.250 0.000 x4



Here is a relaxed Tb2PmDy12 crystal from Alexandria via LeMat-Bulk. Energies are from PBE-GGA.

Output
ΔH_f (0 K), eV/atom: 0.11
Size of the total moment, μB per formula unit: 0.0

Unit cell a=3.552 b=5.581 c=24.359 alpha=90.00 beta=94.10 gamma=90.00
Space group P2/m (No. 10)
Inequivalent atoms, fractional coordinates:
Tb1 0.135 0.000 0.272 x2
Pm1 0.500 0.000 0.000 x1
Dy1 0.035 0.500 0.075 x2
Dy2 0.225 0.500 0.445 x2
Dy3 0.284 0.000 0.574 x2
Dy4 0.335 0.500 0.669 x2
Dy5 0.402 0.500 0.798 x2
Dy6 0.433 0.000 0.862 x2



Here is a relaxed Tb5Pm3Dy crystal from Alexandria via LeMat-Bulk. Energies are from PBE-GGA.

Output
ΔH_f (0 K), eV/atom: 0.27
Size of the total moment, μB per formula unit: 0.0

Unit cell a=8.730 b=8.730 c=15.587 alpha=90.00 beta=90.00 gamma=90.00
Space group I4/mcm (No. 140)
Inequivalent atoms, fractional coordinates:
Tb1 0.000 0.000 0.000 x4
Tb2 0.210 0.290 0.138 x16
Pm1 0.000 0.000 0.250 x4
Pm2 0.117 0.383 0.500 x8
Dy1 0.000 0.500 0.250 x4